1.
Here is an optimized crystal structure of Mg2ScCd9 from the Alexandria database. Energies are from GGA-PBE.

Unit cell a=4.511 b=4.511 c=12.896 alpha=90.00 beta=90.00 gamma=90.00
Sites, in units of the cell vectors:
Mg (0.000, 0.000, 0.332)
Mg (0.000, 0.000, 0.668)
Sc (0.000, 0.000, 0.000)
Cd (0.500, 0.500, 0.000)
Cd (0.500, 0.500, 0.337)
Cd (0.500, 0.500, 0.663)
Cd (0.500, 0.000, 0.168)
Cd (0.500, 0.000, 0.500)
Cd (0.500, 0.000, 0.832)
Cd (0.000, 0.500, 0.168)
Cd (0.000, 0.500, 0.500)
Cd (0.000, 0.500, 0.832)

Calculated values
* space group: No. 123
* energy of formation from the pure elements: -0.12 eV/atom

***

2.
Here is an optimized crystal structure of Er6ZnRu5 from the Alexandria database. Energies are from GGA-PBE.

Unit cell a=4.807 b=6.817 c=8.285 alpha=114.29 beta=106.86 gamma=90.00
Sites, in units of the cell vectors:
Ru (0.336, 0.836, 0.672)
Ru (0.666, 0.666, 0.333)
Ru (0.000, 0.500, 0.000)
Ru (0.334, 0.334, 0.667)
Ru (0.664, 0.164, 0.328)
Zn (0.000, 0.000, 0.000)
Er (0.171, 0.426, 0.341)
Er (0.171, 0.915, 0.341)
Er (0.500, 0.260, 0.000)
Er (0.500, 0.740, 0.000)
Er (0.829, 0.085, 0.659)
Er (0.829, 0.574, 0.659)

Calculated values
* space group: No. 71
* energy of formation from the pure elements: -0.43 eV/atom

***

3.
Here is an optimized crystal structure of Rb3In2Hg5Te2 from the Alexandria database. Energies are from GGA-PBE.

Unit cell a=5.618 b=5.618 c=16.581 alpha=99.75 beta=99.75 gamma=90.00
Sites, in units of the cell vectors:
Rb (0.196, 0.196, 0.392)
Rb (0.804, 0.804, 0.608)
Rb (0.000, 0.000, 0.000)
In (0.396, 0.396, 0.793)
In (0.604, 0.604, 0.207)
Hg (0.578, 0.078, 0.156)
Hg (0.422, 0.922, 0.844)
Hg (0.078, 0.578, 0.156)
Hg (0.922, 0.422, 0.844)
Hg (0.500, 0.500, 0.000)
Te (0.690, 0.690, 0.380)
Te (0.310, 0.310, 0.620)

Calculated values
* space group: No. 139
* VASP energy: -20.203 eV for the cell shown

***

4.
Here is an optimized crystal structure of BaCuPb2 from the Alexandria database. Energies are from GGA-PBE.

Unit cell a=6.659 b=6.659 c=6.659 alpha=138.85 beta=136.96 gamma=61.06
Sites, in units of the cell vectors:
Ba (0.473, 0.473, 0.000)
Cu (0.197, 0.697, 0.500)
Pb (0.079, 0.079, 0.000)
Pb (0.751, 0.251, 0.500)

Calculated values
* space group: No. 44
* energy of formation from the pure elements: -0.11 eV/atom

***

5.
Here is an optimized crystal structure of YPdO2F from the Alexandria database. Energies are from GGA-PBE.

Unit cell a=4.440 b=4.440 c=4.280 alpha=90.00 beta=90.00 gamma=90.00
Sites, in units of the cell vectors:
Y (0.000, 0.000, 0.000)
O (0.000, 0.500, 0.000)
O (0.500, 0.000, 0.000)
Pd (0.500, 0.500, 0.500)
F (0.000, 0.000, 0.500)

Calculated values
* space group: No. 123
* VASP energy: -31.234 eV for the cell shown

***

6.
Here is an optimized crystal structure of Tb4Dy3Cd4 from the Alexandria database. Energies are from GGA-PBE.

Unit cell a=5.316 b=6.943 c=9.671 alpha=111.04 beta=105.95 gamma=90.00
Sites, in units of the cell vectors:
Tb (0.318, 0.079, 0.636)
Tb (0.682, 0.444, 0.364)
Tb (0.682, 0.921, 0.364)
Tb (0.318, 0.556, 0.636)
Dy (0.101, 0.101, 0.202)
Dy (0.899, 0.899, 0.798)
Dy (0.000, 0.500, 0.000)
Cd (0.173, 0.673, 0.347)
Cd (0.827, 0.327, 0.653)
Cd (0.500, 0.790, 0.000)
Cd (0.500, 0.210, 0.000)

Calculated values
* space group: No. 71
* energy of formation from the pure elements: -0.09 eV/atom

***

We obtain M_tot values of 0.00, 0.00, 0.00, 0.00, 0.40, 0.00 μB per atom for the records listed above, in that order.